# 1
The following is a DFT calculation (SCAN) of a PBEsol-optimized structure of Zn5Cu3.

abc: 4.7944 7.1153 7.1153
angles: 120.00 90.00 90.00
Last column: nearest neighbours and their distance in Å.
Positions (direct):
Zn 0.2500 0.7693 0.0000  5 Cu 2.48-2.69
Zn 0.5000 0.6667 0.3333  2 Zn 2.40, 6 Cu 2.48
Zn 0.7500 0.2307 0.0000  5 Cu 2.48-2.69
Zn 0.7500 0.0000 0.2307  5 Cu 2.48-2.69
Zn 0.5000 0.3333 0.6667  2 Zn 2.40, 6 Cu 2.48
Zn 0.0000 0.3333 0.6667  2 Zn 2.40, 6 Cu 2.48
Zn 0.2500 0.2307 0.2307  5 Cu 2.48-2.69
Zn 0.2500 0.0000 0.7693  5 Cu 2.48-2.69
Zn 0.0000 0.6667 0.3333  2 Zn 2.40, 6 Cu 2.48
Zn 0.7500 0.7693 0.7693  5 Cu 2.48-2.69
Cu 0.7500 0.5990 0.0000  9 Zn 2.48-2.69
Cu 0.7500 0.4010 0.4010  9 Zn 2.48-2.69
Cu 0.2500 0.0000 0.4010  9 Zn 2.48-2.69
Cu 0.2500 0.4010 0.0000  9 Zn 2.48-2.69
Cu 0.2500 0.5990 0.5990  9 Zn 2.48-2.69
Cu 0.7500 0.0000 0.5990  9 Zn 2.48-2.69

Output
* magnetic moment: 0.00 Bohr magnetons per cell
* formation energy: -5 meV/atom


# 2
The following is a DFT calculation (SCAN) of a PBEsol-optimized structure of SbPbAu2.

abc: 3.3180 4.4610 6.1988
angles: 90.00 90.01 90.00
Last column: nearest neighbours and their distance in Å.
Positions (direct):
Au 0.0002 0.0000 0.7298  2 Sb 2.79, 1 Au 2.85, 4 Pb 3.12
Au 0.9998 0.0000 0.2702  2 Sb 2.79, 1 Au 2.85, 4 Pb 3.12
Pb 0.5000 0.5000 0.5000  8 Au 3.12, 2 Pb 3.32
Sb 0.0000 0.5000 0.0000  4 Au 2.79

Output
* magnetic moment: 0.00 Bohr magnetons per cell
* ΔE_f (raw): 0.0072 eV/atom


# 3
The following is a DFT calculation (SCAN) of a PBEsol-optimized structure of Al2Cu5Ni.

abc: 3.5944 5.1069 10.2215
angles: 90.00 90.00 90.00
Last column: nearest neighbours and their distance in Å.
Positions (direct):
Cu 0.5000 0.2395 0.8724  4 Al 2.52-2.59, 6 Cu 2.53-2.54, 2 Ni 2.59
Cu 0.0000 0.0000 0.0000  6 Cu 2.53-2.55, 2 Ni 2.55, 4 Al 2.57
Cu 0.5000 0.7395 0.6276  4 Al 2.52-2.59, 6 Cu 2.53-2.54, 2 Ni 2.59
Cu 0.0000 0.5000 0.5000  6 Cu 2.53-2.55, 2 Ni 2.55, 4 Al 2.57
Cu 0.0000 0.5135 0.2509  7 Cu 2.53-2.55, 1 Ni 2.57, 4 Al 2.57-2.58
Cu 0.0000 0.4865 0.7491  7 Cu 2.53-2.55, 1 Ni 2.57, 4 Al 2.57-2.58
Cu 0.0000 0.9865 0.7509  7 Cu 2.53-2.55, 1 Ni 2.57, 4 Al 2.57-2.58
Cu 0.5000 0.2605 0.3724  4 Al 2.52-2.59, 6 Cu 2.53-2.54, 2 Ni 2.59
Cu 0.5000 0.7605 0.1276  4 Al 2.52-2.59, 6 Cu 2.53-2.54, 2 Ni 2.59
Cu 0.0000 0.0135 0.2491  7 Cu 2.53-2.55, 1 Ni 2.57, 4 Al 2.57-2.58
Al 0.5000 0.2674 0.1196  2 Ni 2.48, 10 Cu 2.52-2.59
Al 0.5000 0.7326 0.8804  2 Ni 2.48, 10 Cu 2.52-2.59
Al 0.5000 0.2326 0.6196  2 Ni 2.48, 10 Cu 2.52-2.59
Al 0.5000 0.7674 0.3804  2 Ni 2.48, 10 Cu 2.52-2.59
Ni 0.0000 0.0000 0.5000  4 Al 2.48, 8 Cu 2.55-2.59
Ni 0.0000 0.5000 0.0000  4 Al 2.48, 8 Cu 2.55-2.59

Output
* magnetic moment: 0.00 Bohr magnetons per cell
* formation energy: -296 meV/atom


# 4
The following is a DFT calculation (SCAN) of a PBEsol-optimized structure of Ba2SbH2.

abc: 3.4522 8.2099 8.2099
angles: 90.00 90.00 90.00
Last column: nearest neighbours and their distance in Å.
Positions (direct):
H 0.0000 0.1045 0.3955  1 H 2.43
H 0.0000 0.8955 0.6045  1 H 2.43
H 0.0000 0.3955 0.8955  1 H 2.43
H 0.0000 0.6045 0.1045  1 H 2.43
Ba 0.5000 0.1627 0.6627  4 H 2.83
Ba 0.5000 0.6627 0.8373  4 H 2.83
Ba 0.5000 0.3373 0.1627  4 H 2.83
Ba 0.5000 0.8373 0.3373  4 H 2.83
Sb 0.0000 0.5000 0.5000  4 H 3.36, 2 Sb 3.45, 8 Ba 3.53
Sb 0.0000 0.0000 0.0000  4 H 3.36, 2 Sb 3.45, 8 Ba 3.53

Output
* magnetic moment: 0.00 Bohr magnetons per cell
* electronic total energy: -25.23 eV/atom


# 5
The following is a DFT calculation (SCAN) of a PBEsol-optimized structure of LiSi4NiO10.

abc: 5.2075 7.7348 11.4921
angles: 106.44 90.00 90.00
Last column: nearest neighbours and their distance in Å.
Positions (direct):
O 0.0001 0.9316 0.7951  1 Si 1.63
O 0.9463 0.2500 0.7500  2 Si 1.62
O 0.1627 0.2325 0.9534  2 Si 1.62
O 0.1627 0.2675 0.5466  2 Si 1.62
O 0.8373 0.7325 0.4534  2 Si 1.62
O 0.9999 0.0684 0.2049  1 Si 1.63
O 0.5225 0.7806 0.6402  1 Si 1.62
O 0.6626 0.1654 0.9171  2 Si 1.63
O 0.4775 0.2806 0.1402  1 Si 1.62
O 0.6626 0.3346 0.5829  2 Si 1.63
O 0.5225 0.7194 0.8598  1 Si 1.62
O 0.8373 0.7675 0.0466  2 Si 1.62
O 0.9999 0.4316 0.2951  1 Si 1.63
O 0.5000 0.5000 0.0000  2 Si 1.61
O 0.3374 0.6654 0.4171  2 Si 1.63
O 0.5000 0.0000 0.5000  2 Si 1.61
O 0.4775 0.2194 0.3598  1 Si 1.62
O 0.0537 0.7500 0.2500  2 Si 1.62
O 0.0001 0.5684 0.7049  1 Si 1.63
O 0.3374 0.8346 0.0829  2 Si 1.63
Si 0.5505 0.7050 0.9976  4 O 1.61-1.63
Si 0.5505 0.7950 0.5024  4 O 1.61-1.63
Si 0.4495 0.2950 0.0024  4 O 1.61-1.63
Si 0.4495 0.2050 0.4976  4 O 1.61-1.63
Si 0.9439 0.3545 0.6466  4 O 1.62-1.63
Si 0.0561 0.8545 0.1466  4 O 1.62-1.63
Si 0.9439 0.1455 0.8534  4 O 1.62-1.63
Si 0.0561 0.6455 0.3534  4 O 1.62-1.63
Li 0.7389 0.2500 0.2500  4 O 1.92
Li 0.2611 0.7500 0.7500  4 O 1.92
Ni 0.7609 0.7500 0.7500  4 O 1.83-1.84
Ni 0.2391 0.2500 0.2500  4 O 1.83-1.84

Output
* magnetic moment: 6.00 Bohr magnetons per cell
* ΔE_f (raw): -2.6263 eV/atom


# 6
The following is a DFT calculation (SCAN) of a PBEsol-optimized structure of Ca4Mn2Al2O11.

abc: 5.3069 5.3118 15.0267
angles: 99.95 99.94 91.27
Last column: nearest neighbours and their distance in Å.
Positions (direct):
O 0.4829 0.4858 0.3690  1 Mn 1.77, 1 Al 1.94
O 0.5171 0.5142 0.6310  1 Mn 1.77, 1 Al 1.94
O 0.8675 0.8675 0.7350  2 Mn 1.93
O 0.2503 0.7503 0.5007  2 Al 1.90
O 0.1139 0.1168 0.6310  1 Mn 1.77, 1 Al 1.94
O 0.1325 0.1325 0.2650  2 Mn 1.93
O 0.6213 0.1213 0.2427  2 Mn 1.90
O 0.3926 0.3926 0.7852  2 Mn 1.86
O 0.2635 0.2620 0.1057  1 Al 1.75
O 0.8422 0.8438 0.1057  1 Al 1.75
O 0.2404 0.2404 0.4808  2 Al 1.88
O 0.7365 0.7380 0.8943  1 Al 1.75
O 0.6074 0.6074 0.2148  2 Mn 1.86
O 0.8861 0.8832 0.3690  1 Mn 1.77, 1 Al 1.94
O 0.1205 0.6205 0.2411  2 Mn 1.90
O 0.6663 0.3347 0.0000  2 Al 1.82
O 0.3337 0.6653 0.0000  2 Al 1.82
O 0.7497 0.2497 0.4993  2 Al 1.90
O 0.3787 0.8787 0.7573  2 Mn 1.90
O 0.8795 0.3795 0.7589  2 Mn 1.90
O 0.1578 0.1562 0.8943  1 Al 1.75
O 0.7596 0.7596 0.5192  2 Al 1.88
Ca 0.7074 0.1495 0.8576  7 O 2.24-2.45
Ca 0.5599 0.0548 0.6155  6 O 2.34-2.56
Ca 0.9444 0.4393 0.3845  6 O 2.34-2.56
Ca 0.2926 0.8505 0.1424  7 O 2.24-2.45
Ca 0.8498 0.2919 0.1424  7 O 2.24-2.45
Ca 0.0556 0.5607 0.6155  6 O 2.34-2.56
Ca 0.4401 0.9452 0.3845  6 O 2.34-2.56
Ca 0.1502 0.7081 0.8576  7 O 2.24-2.45
Mn 0.1332 0.1337 0.7505  5 O 1.77-1.93
Mn 0.8668 0.8663 0.2495  5 O 1.77-1.93
Mn 0.6173 0.6168 0.7505  5 O 1.77-1.93
Mn 0.3827 0.3832 0.2495  5 O 1.77-1.93
Al 0.0000 0.0000 0.5000  6 O 1.88-1.94
Al 0.3234 0.3230 0.0000  4 O 1.75-1.82
Al 0.5000 0.5000 0.5000  6 O 1.88-1.94
Al 0.6766 0.6770 0.0000  4 O 1.75-1.82

Output
* magnetic moment: 12.03 Bohr magnetons per cell
* ΔE_f (raw): -2.9785 eV/atom


# 7
The following is a DFT calculation (SCAN) of a PBEsol-optimized structure of Mg2MoAs.

abc: 2.8313 4.5818 5.5559
angles: 90.00 104.76 90.00
Last column: nearest neighbours and their distance in Å.
Positions (direct):
As 0.6924 0.5000 0.3848  2 Mo 2.58, 2 As 2.83, 2 Mg 2.84
Mg 0.4216 0.5000 0.8432  6 Mg 2.83-3.11, 3 As 2.84-2.91, 4 Mo 2.98
Mg 0.0658 0.0000 0.1316  3 Mo 2.83-2.91, 6 Mg 2.83-3.11, 4 As 3.02
Mo 0.8026 0.0000 0.6053  2 As 2.58, 1 Mg 2.83, 2 Mo 2.83

Output
* magnetic moment: 0.00 Bohr magnetons per cell
* formation energy: 52 meV/atom


# 8
The following is a DFT calculation (SCAN) of a PBEsol-optimized structure of SrZrCdGa2.

abc: 5.2273 5.4119 5.4119
angles: 90.00 90.00 90.00
Last column: nearest neighbours and their distance in Å.
Positions (direct):
Zr 0.5000 0.0000 0.0000  2 Sr 2.61
Ga 0.0000 0.0000 0.5000  2 Sr 2.71
Ga 0.0000 0.5000 0.0000  2 Sr 2.71
Sr 0.0000 0.0000 0.0000  2 Zr 2.61, 4 Ga 2.71
Cd 0.5000 0.5000 0.5000  8 Ga 3.76, 4 Zr 3.83

Output
* magnetic moment: 1.49 Bohr magnetons per cell
* formation energy: 1452 meV/atom


# 9
The following is a DFT calculation (SCAN) of a PBEsol-optimized structure of Cd2RuCl.

abc: 4.7231 4.7231 4.7231
angles: 60.00 60.00 60.00
Last column: nearest neighbours and their distance in Å.
Positions (direct):
Ru 0.5000 0.5000 0.5000  8 Cd 2.89
Cd 0.7500 0.7500 0.7500  4 Cl 2.89, 4 Ru 2.89
Cd 0.2500 0.2500 0.2500  4 Cl 2.89, 4 Ru 2.89
Cl 0.0000 0.0000 0.0000  8 Cd 2.89

Output
* magnetic moment: 2.24 Bohr magnetons per cell
* ΔE_f (raw): 0.5956 eV/atom


# 10
The following is a DFT calculation (SCAN) of a PBEsol-optimized structure of Mg2InSb.

abc: 3.4663 3.4663 9.2592
angles: 79.21 79.21 60.00
Last column: nearest neighbours and their distance in Å.
Positions (direct):
Sb 0.5000 0.5000 0.5000  6 Mg 3.04
Mg 0.2508 0.2508 0.2475  3 In 3.00, 3 Sb 3.04
Mg 0.7492 0.7492 0.7525  3 In 3.00, 3 Sb 3.04
In 0.0000 0.0000 0.0000  6 Mg 3.00

Output
* magnetic moment: 0.00 Bohr magnetons per cell
* ΔE_f (raw): -0.1327 eV/atom